1.
Entry from Alexandria via LeMat-Bulk: a relaxed CePmSn crystal (GGA-PBE).

Calculated values
Magnetization (μB per cell): 1.7
Uncorrected energy (eV per atom): -5.4610
E above lowest polymorph (meV per atom): 0

Cell: 4.4617 4.4617 8.9783 Å, 90.00 90.00 90.00°
Closest atoms and distances in Å follow each position.
Space group P4/nmm (No. 129, origin choice 2)
Inequivalent atoms, fractional coordinates:
Ce (0.2500, 0.7500, 0.0000)  4 Ce 3.15, 4 Sn 3.32
Pm (0.2500, 0.2500, 0.3607)  5 Sn 3.25-3.29
Sn (0.2500, 0.2500, 0.7269)  5 Pm 3.25-3.29, 4 Ce 3.32

2.
Entry from Alexandria via LeMat-Bulk: a relaxed ZnAgAs2 crystal (GGA-PBE).

Calculated values
Magnetization (μB per cell): 0.0
Uncorrected energy (eV per atom): -3.1756

Cell: 3.5003 3.9657 11.2345 Å, 90.00 90.00 90.00°
Closest atoms and distances in Å follow each position.
Space group Imm2 (No. 44)
Inequivalent atoms, fractional coordinates:
Zn (0.0000, 0.0000, 0.0000)  4 As 2.75, 2 Ag 2.75
Ag (0.0000, 0.5000, 0.1701)  2 Zn 2.75, 4 As 2.83
As (0.0000, 0.0000, 0.4334)  2 As 2.62, 4 Zn 2.75
As (0.0000, 0.5000, 0.7599)  2 As 2.62, 4 Ag 2.83

3.
Entry from Alexandria via LeMat-Bulk: a relaxed BaY2MoN4 crystal (GGA-PBE).

Calculated values
Magnetization (μB per cell): 2.8
Uncorrected energy (eV per atom): -8.4315
E_form (uncorrected) (eV/atom): -1.059

Cell: 3.5046 12.4525 12.1507 Å, 90.00 90.00 90.00°
Closest atoms and distances in Å follow each position.
Space group Cmcm (No. 63)
Inequivalent atoms, fractional coordinates:
Ba (0.0000, 0.0794, 0.2500)  6 N 2.83-3.17
Y (0.0000, 0.3714, 0.0386)  6 N 2.34-2.59
Mo (0.0000, 0.1831, 0.7500)  4 N 1.90-2.04
N (0.0000, 0.0000, 0.0000)  4 Y 2.42
N (0.0000, 0.2561, 0.6130)  1 Mo 1.90
N (0.0000, 0.4006, 0.2500)  2 Mo 2.04

4.
Entry from Alexandria via LeMat-Bulk: a relaxed BaIrBr2 crystal (GGA-PBE).

Calculated values
Magnetization (μB per cell): 8.2
Uncorrected energy (eV per atom): -3.6707
E above lowest polymorph (meV per atom): 494
E_form (uncorrected) (eV/atom): -0.138

Cell: 7.6368 7.6368 7.6368 Å, 90.00 90.00 90.00°
Closest atoms and distances in Å follow each position.
Space group Fm-3m (No. 225)
Inequivalent atoms, fractional coordinates:
Ba (0.0000, 0.0000, 0.0000)  8 Br 3.31
Ir (0.0000, 0.0000, 0.5000)  8 Br 3.31
Br (0.2500, 0.2500, 0.2500)  4 Ba 3.31, 4 Ir 3.31

5.
Entry from Alexandria via LeMat-Bulk: a relaxed Sr2P2Pt crystal (GGA-PBE).

Calculated values
Magnetization (μB per cell): 0.0
Uncorrected energy (eV per atom): -4.8373
E above lowest polymorph (meV per atom): 258

Cell: 6.9762 6.9762 4.5289 Å, 90.00 90.00 90.00°
Closest atoms and distances in Å follow each position.
Space group P4/mbm (No. 127)
Inequivalent atoms, fractional coordinates:
Sr (0.1805, 0.3195, 0.0000)  6 P 3.00-3.11
P (0.1194, 0.6194, 0.5000)  1 P 2.36
Pt (0.0000, 0.0000, 0.5000)  4 P 2.78

6.
Entry from Alexandria via LeMat-Bulk: a relaxed Ni3MoP crystal (GGA-PBE).

Calculated values
Magnetization (μB per cell): 2.8
Uncorrected energy (eV per atom): -6.3115
E above lowest polymorph (meV per atom): 0

Cell: 4.1338 4.1338 4.1338 Å, 90.00 90.00 90.00°
Closest atoms and distances in Å follow each position.
Space group Pm-3m (No. 221)
Inequivalent atoms, fractional coordinates:
Ni (0.0000, 0.0000, 0.5000)  2 P 2.07
Mo (0.5000, 0.5000, 0.5000)  12 Ni 2.92
P (0.0000, 0.0000, 0.0000)  6 Ni 2.07

7.
Entry from Alexandria via LeMat-Bulk: a relaxed LiHPt3 crystal (GGA-PBE).

Calculated values
Magnetization (μB per cell): 0.0
Uncorrected energy (eV per atom): -3.5353
E above lowest polymorph (meV per atom): 1437

Cell: 4.1940 4.1940 4.1940 Å, 90.00 90.00 90.00°
Closest atoms and distances in Å follow each position.
Space group Pm-3m (No. 221)
Inequivalent atoms, fractional coordinates:
Li (0.0000, 0.0000, 0.0000)  6 Pt 2.10
H (0.5000, 0.5000, 0.5000)  12 Pt 2.97
Pt (0.0000, 0.0000, 0.5000)  2 Li 2.10

8.
Entry from Alexandria via LeMat-Bulk: a relaxed CaLa2PrNd5 crystal (GGA-PBE).

Calculated values
Magnetization (μB per cell): 0.0
Uncorrected energy (eV per atom): -4.2518

Cell: 8.8851 8.8851 16.6241 Å, 90.00 90.00 90.00°
Closest atoms and distances in Å follow each position.
Space group I4/mcm (No. 140)
Inequivalent atoms, fractional coordinates:
Ca (0.0000, 0.5000, 0.2500)  4 Nd 3.31
La (0.1186, 0.3814, 0.0000)  1 La 2.98, 2 Nd 3.08
Pr (0.0000, 0.0000, 0.2500)  8 Nd 3.67
Nd (0.0000, 0.0000, 0.0000)  4 La 3.55, 8 Nd 3.92
Nd (0.2185, 0.2815, 0.3614)  1 La 3.08, 1 Ca 3.31

9.
Entry from Alexandria via LeMat-Bulk: a relaxed Rb2Cu2Au crystal (GGA-PBE).

Calculated values
Magnetization (μB per cell): 0.0
Uncorrected energy (eV per atom): -2.4782
E above lowest polymorph (meV per atom): 23

Cell: 6.5903 6.5903 7.4700 Å, 90.00 90.00 90.00°
Closest atoms and distances in Å follow each position.
Space group I4/mmm (No. 139)
Inequivalent atoms, fractional coordinates:
Rb (0.0000, 0.5000, 0.2500)  4 Cu 3.37, 2 Rb 3.74
Cu (0.0000, 0.0000, 0.1580)  1 Cu 2.36, 1 Au 2.55
Au (0.0000, 0.0000, 0.5000)  2 Cu 2.55

10.
Entry from Alexandria via LeMat-Bulk: a relaxed ZnGa2Hg crystal (GGA-PBE).

Calculated values
Magnetization (μB per cell): 0.0
Uncorrected energy (eV per atom): -1.8171
E above lowest polymorph (meV per atom): 21

Cell: 4.2422 4.2422 4.4278 Å, 90.00 90.00 90.00°
Closest atoms and distances in Å follow each position.
Space group P4/mmm (No. 123)
Inequivalent atoms, fractional coordinates:
Zn (0.0000, 0.0000, 0.0000)  4 Hg 3.00, 8 Ga 3.07
Ga (0.0000, 0.5000, 0.5000)  4 Ga 3.00, 4 Hg 3.07, 4 Zn 3.07
Hg (0.5000, 0.5000, 0.0000)  4 Zn 3.00, 8 Ga 3.07

11.
Entry from Alexandria via LeMat-Bulk: a relaxed Hg3Pb12Au crystal (GGA-PBE).

Calculated values
Magnetization (μB per cell): 0.0
Uncorrected energy (eV per atom): -3.0294

Cell: 4.9689 4.9689 18.9479 Å, 90.00 90.00 90.00°
Closest atoms and distances in Å follow each position.
Space group P4/mmm (No. 123)
Inequivalent atoms, fractional coordinates:
Hg (0.0000, 0.0000, 0.0000)  12 Pb 3.46-3.51
Hg (0.0000, 0.0000, 0.2533)  12 Pb 3.45-3.51
Pb (0.0000, 0.5000, 0.1271)  4 Hg 3.45-3.46, 8 Pb 3.46-3.51
Pb (0.0000, 0.5000, 0.3827)  8 Pb 3.33-3.51, 2 Au 3.33, 2 Hg 3.49
Pb (0.5000, 0.5000, 0.0000)  8 Pb 3.46, 4 Hg 3.51
Pb (0.5000, 0.5000, 0.2552)  8 Pb 3.47, 4 Hg 3.51
Pb (0.5000, 0.5000, 0.5000)  8 Pb 3.33, 4 Au 3.51
Au (0.0000, 0.0000, 0.5000)  12 Pb 3.33-3.51

12.
Entry from Alexandria via LeMat-Bulk: a relaxed SrGaAg2Sn crystal (GGA-PBE).

Calculated values
Magnetization (μB per cell): 0.0
Uncorrected energy (eV per atom): -3.2110

Cell: 4.4278 4.5503 11.9518 Å, 90.00 90.00 90.00°
Closest atoms and distances in Å follow each position.
Space group Imm2 (No. 44)
Inequivalent atoms, fractional coordinates:
Sr (0.0000, 0.0000, 0.0000)  6 Ag 3.42-3.56, 4 Ga 3.43, 4 Sn 3.71-3.77
Ga (0.0000, 0.0000, 0.3916)  3 Ag 2.58-2.72, 2 Sn 2.79
Ag (0.0000, 0.0000, 0.6075)  1 Ga 2.58, 2 Sn 2.84
Ag (0.0000, 0.5000, 0.2670)  2 Ga 2.72, 2 Ag 2.92
Sn (0.0000, 0.5000, 0.7490)  2 Ga 2.79, 2 Ag 2.84

Among the records above, which one has the lowest uncorrected energy?
BaY2MoN4

Look up the uncorrected energy of the eighth one.
-4.2518 eV per atom

Repeat the tenth record exactly.
Entry from Alexandria via LeMat-Bulk: a relaxed ZnGa2Hg crystal (GGA-PBE).

Calculated values
Magnetization (μB per cell): 0.0
Uncorrected energy (eV per atom): -1.8171
E above lowest polymorph (meV per atom): 21

Cell: 4.2422 4.2422 4.4278 Å, 90.00 90.00 90.00°
Closest atoms and distances in Å follow each position.
Space group P4/mmm (No. 123)
Inequivalent atoms, fractional coordinates:
Zn (0.0000, 0.0000, 0.0000)  4 Hg 3.00, 8 Ga 3.07
Ga (0.0000, 0.5000, 0.5000)  4 Ga 3.00, 4 Hg 3.07, 4 Zn 3.07
Hg (0.5000, 0.5000, 0.0000)  4 Zn 3.00, 8 Ga 3.07